Record 1
Compound: Pm2MnFeGe6
Source: the Alexandria database
Functional: PBE
Structure: optimized geometry

Cell: 7.4122 7.4122 26.3816 Å, 90.00 90.00 120.00°
Space group R-3m (No. 166, hexagonal axes)
Inequivalent atoms, fractional coordinates:
Pm: 0.0000 0.0000 0.1312 [6 per cell]
Pm: 0.0000 0.0000 0.2882 [6 per cell]
Mn: 0.0000 0.0000 0.0000 [3 per cell]
Mn: 0.0000 0.0000 0.5000 [3 per cell]
Fe: 0.0000 0.0000 0.4028 [6 per cell]
Ge: 0.0096 0.5048 0.1198 [18 per cell]
Ge: 0.0115 0.5057 0.7124 [18 per cell]

Output
Density: 6.64 g cm⁻³
Density of states at the Fermi level: 0.728 states/eV/atom
Magnetic moment: 0.308 μB per atom
Crystal system: trigonal
Energy of formation: -0.20 eV per atom


Record 2
Compound: PrMnFeGe2
Source: the Alexandria database
Functional: PBE
Structure: optimized geometry

Cell: 4.0391 4.0391 10.7355 Å, 90.00 90.00 90.00°
Space group I-4m2 (No. 119)
Inequivalent atoms, fractional coordinates:
Pr: 0.0000 0.0000 0.0000 [2 per cell]
Mn: 0.0000 0.5000 0.7500 [2 per cell]
Fe: 0.0000 0.5000 0.2500 [2 per cell]
Ge: 0.0000 0.0000 0.3730 [4 per cell]

Output
Density: 7.53 g cm⁻³
Density of states at the Fermi level: 0.482 states/eV/atom
Magnetic moment: 0.556 μB per atom
Crystal system: tetragonal
Energy of formation: -0.46 eV per atom


Record 3
Compound: PrMnFeGe3
Source: the Alexandria database
Functional: PBE
Structure: optimized geometry

Cell: 6.0069 11.1149 6.9256 Å, 90.00 90.00 90.00°
Space group Cmcm (No. 63)
Inequivalent atoms, fractional coordinates:
Pr: 0.0000 0.2389 0.2500 [4 per cell]
Mn: 0.0000 0.4714 0.7500 [4 per cell]
Fe: 0.0000 0.0691 0.7500 [4 per cell]
Ge: 0.0000 0.2667 0.7500 [4 per cell]
Ge: 0.2275 0.0000 0.0000 [8 per cell]

Output
Density: 6.75 g cm⁻³
Density of states at the Fermi level: 0.592 states/eV/atom
Magnetic moment: 0.341 μB per atom
Crystal system: orthorhombic
Energy of formation: -0.20 eV per atom


Record 4
Compound: Pu2MnFeGe4
Source: the Alexandria database
Functional: PBE
Structure: optimized geometry

Cell: 5.5596 9.2354 22.7777 Å, 90.00 90.00 90.00°
Space group Fddd (No. 70, origin choice 2)
Inequivalent atoms, fractional coordinates:
Pu: 0.1250 0.1250 0.3194 [16 per cell]
Mn: 0.1250 0.1250 0.6250 [8 per cell]
Fe: 0.1250 0.1250 0.1250 [8 per cell]
Ge: 0.1234 0.2706 0.7980 [32 per cell]

Output
Density: 10.10 g cm⁻³
Density of states at the Fermi level: 1.738 states/eV/atom
Magnetic moment: 0.868 μB per atom
Crystal system: orthorhombic
Energy of formation: -0.24 eV per atom


> Which value of density does entry 4 give?

10.10 g cm⁻³


Repeat the first record exactly.
Compound: Pm2MnFeGe6
Source: the Alexandria database
Functional: PBE
Structure: optimized geometry

Cell: 7.4122 7.4122 26.3816 Å, 90.00 90.00 120.00°
Space group R-3m (No. 166, hexagonal axes)
Inequivalent atoms, fractional coordinates:
Pm: 0.0000 0.0000 0.1312 [6 per cell]
Pm: 0.0000 0.0000 0.2882 [6 per cell]
Mn: 0.0000 0.0000 0.0000 [3 per cell]
Mn: 0.0000 0.0000 0.5000 [3 per cell]
Fe: 0.0000 0.0000 0.4028 [6 per cell]
Ge: 0.0096 0.5048 0.1198 [18 per cell]
Ge: 0.0115 0.5057 0.7124 [18 per cell]

Output
Density: 6.64 g cm⁻³
Density of states at the Fermi level: 0.728 states/eV/atom
Magnetic moment: 0.308 μB per atom
Crystal system: trigonal
Energy of formation: -0.20 eV per atom


> What is the formula in the second record?

PrMnFeGe2